1.
The following is a PBE calculation of a geometry-optimized MgZr3 structure, from Alexandria via LeMat-Bulk.

Energy relative to the elements, eV/atom: 0.30
DFT total energy, eV/cell: -52.09

Cell: 4.8949 4.8949 9.0753 Å, 90.00 90.00 120.00°
Space group P6_3/mmc (No. 194)
Asymmetric unit:
Mg: 0.3333 0.6667 0.2500
Zr: 0.0000 0.0000 0.2500
Zr: 0.3333 0.6667 0.5825

---

2.
The following is a PBE calculation of a geometry-optimized Mg3Zr4 structure, from Alexandria via LeMat-Bulk.

Distance to the lowest polymorph of the same formula, eV per atom: 0.043
Energy relative to the elements, eV/atom: 0.02
DFT total energy, eV/cell: -77.68

Cell: 8.5541 8.5541 5.0237 Å, 90.00 90.00 120.00°
Space group P6_3/m (No. 176)
Asymmetric unit:
Mg: 0.0475 0.8096 0.2500
Zr: 0.0993 0.6240 0.7500
Zr: 0.3333 0.6667 0.2500